RbNiAu2F8: relaxed, GGA+U.

Output
The energy comes out at -3.4368 eV per atom. The magnetic moment comes out at 2.84 μB/f.u.

a b c (Å): 5.581 5.581 7.249
angles (deg): 90.00 90.00 120.00
Site moments in Bohr magnetons follow the coordinates.
Atoms (fractional coordinates):
Rb  0.000  0.000  0.000  0.00
Ni  0.000  0.000  0.500  1.81
Au  0.667  0.333  0.369  0.24
Au  0.333  0.667  0.631  0.24
F  0.333  0.667  0.904  0.09
F  0.260  0.336  0.353  0.05
F  0.664  0.924  0.353  0.05
F  0.667  0.333  0.096  0.09
F  0.336  0.076  0.647  0.05
F  0.740  0.664  0.647  0.05
F  0.924  0.260  0.647  0.05
F  0.076  0.740  0.353  0.05